Entry 1:
## DyNpIn (PBE-GGA)

Data for crystalline DyNpIn at its relaxed geometry.

The space group is F-43m (No. 216) and the conventional cell measures 7.336, 7.336 and 7.336 Å, with angles of 90.00, 90.00 and 90.00 degrees. The distinct sites, in fractional coordinates, are Dy at (0.000, 0.000, 0.000), Np at (0.000, 0.000, 0.500) and In at (0.250, 0.250, 0.250).

The calculation puts the offset from the most stable computed form at 0.00 kcal/mol of atoms.

=====

Entry 2:
## Dy3InO6 (PBE-GGA)

Data for crystalline Dy3InO6 at its relaxed geometry.

The space group is Cmc2_1 (No. 36) and the conventional cell measures 8.857, 11.088 and 5.534 Å, with angles of 90.00, 90.00 and 90.00 degrees. The distinct sites, in fractional coordinates, are Dy at (0.000, 0.100, 0.000), Dy at (0.196, 0.394, 0.056), In at (0.000, 0.319, 0.570), O at (0.000, 0.279, 0.213), O at (0.000, 0.477, 0.781), O at (0.161, 0.019, 0.277) and O at (0.166, 0.234, 0.779).

The total energy comes out at -7.6521 eV/atom.

=====

Entry 3:
## DyInOs (PBE-GGA)

Data for crystalline DyInOs at its relaxed geometry.

The space group is F-43m (No. 216) and the conventional cell measures 6.689, 6.689 and 6.689 Å, with angles of 90.00, 90.00 and 90.00 degrees. The distinct sites, in fractional coordinates, are Dy at (0.000, 0.000, 0.000), In at (0.250, 0.250, 0.750) and Os at (0.250, 0.250, 0.250).

The total energy comes out at -5.4271 eV/atom.

=====

Entry 4:
## Dy4InOs (PBE-GGA)

Data for crystalline Dy4InOs at its relaxed geometry.

The space group is C2/c (No. 15) and the conventional cell measures 8.766, 13.167 and 6.113 Å, with angles of 90.00, 108.19 and 90.00 degrees. The distinct sites, in fractional coordinates, are Dy at (0.109, 0.168, 0.050), Dy at (0.223, 0.426, 0.384), In at (0.000, 0.375, 0.750) and Os at (0.000, 0.000, 0.250).

The total energy comes out at -5.7359 eV/atom.

=====

Entry 5:
## DyPaIn (PBE-GGA)

Data for crystalline DyPaIn at its relaxed geometry.

The space group is F-43m (No. 216) and the conventional cell measures 7.233, 7.233 and 7.233 Å, with angles of 90.00, 90.00 and 90.00 degrees. The distinct sites, in fractional coordinates, are Dy at (0.000, 0.000, 0.000), Pa at (0.000, 0.000, 0.500) and In at (0.250, 0.250, 0.250).

The calculation puts the offset from the most stable computed form at 0.00 kcal/mol of atoms.

=====

Entry 6:
## DyInTe3Pb (PBE-GGA)

Data for crystalline DyInTe3Pb at its relaxed geometry.

The space group is Cmcm (No. 63) and the conventional cell measures 4.462, 15.093 and 11.108 Å, with angles of 90.00, 90.00 and 90.00 degrees. The distinct sites, in fractional coordinates, are Dy at (0.000, 0.000, 0.000), In at (0.000, 0.470, 0.250), Te at (0.000, 0.108, 0.250), Te at (0.000, 0.354, 0.031) and Pb at (0.000, 0.230, 0.750).

The total energy comes out at -3.9861 eV/atom.

=====

Entry 7:
## DyInPd (PBE-GGA)

Data for crystalline DyInPd at its relaxed geometry.

The space group is F-43m (No. 216) and the conventional cell measures 6.822, 6.822 and 6.822 Å, with angles of 90.00, 90.00 and 90.00 degrees. The distinct sites, in fractional coordinates, are Dy at (0.000, 0.000, 0.000), In at (0.250, 0.250, 0.750) and Pd at (0.250, 0.250, 0.250).

The total energy comes out at -4.2600 eV/atom.

=====

Entry 8:
## Dy11In9Pd4 (PBE-GGA)

Data for crystalline Dy11In9Pd4 at its relaxed geometry.

The space group is Cmmm (No. 65) and the conventional cell measures 14.642, 22.000 and 3.664 Å, with angles of 90.00, 90.00 and 90.00 degrees. The distinct sites, in fractional coordinates, are Dy at (0.000, 0.000, 0.000), Dy at (0.000, 0.160, 0.000), Dy at (0.000, 0.372, 0.000), Dy at (0.192, 0.500, 0.000), Dy at (0.243, 0.171, 0.000), In at (0.000, 0.500, 0.500), In at (0.105, 0.262, 0.500), In at (0.145, 0.071, 0.500) and Pd at (0.152, 0.399, 0.500).

The total energy comes out at -4.6782 eV/atom.